Record 1
An optimized crystal structure of ScInOs2. Source: the Alexandria database, functional GGA-PBE.

Structure (extended XYZ):
```
4
Lattice="1.491 0.861 9.163 -1.491 0.861 9.163 0.000 -1.721 9.163" Properties=species:S:1:pos:R:3 pbc="T T T"
Sc 0.000 0.000 0.000
In 0.000 0.000 6.517
Os 0.000 0.000 13.359
Os 0.000 0.000 20.508
```

Total DFT energy (no corrections)   -30.4 eV for the cell shown
Formation energy   285 meV per atom

Record 2
An optimized crystal structure of LiDyTi. Source: the Alexandria database, functional GGA-PBE.

Structure (extended XYZ):
```
6
Lattice="3.574 0.000 0.000 0.000 3.574 0.000 0.000 0.000 10.725" Properties=species:S:1:pos:R:3 pbc="T T T"
Li 0.893 0.893 0.709
Li 2.680 2.680 10.016
Dy 0.893 0.893 7.858
Dy 2.680 2.680 2.867
Ti 0.893 0.893 4.811
Ti 2.680 2.680 5.914
```

Total DFT energy (no corrections)   -28.3 eV for the cell shown
Formation energy   95 meV per atom

Record 3
An optimized crystal structure of Sm3PSe2. Source: the Alexandria database, functional GGA-PBE.

Structure (extended XYZ):
```
6
Lattice="-2.060 2.924 6.311 2.060 -2.924 6.311 2.060 2.924 -6.311" Properties=species:S:1:pos:R:3 pbc="T T T"
Sm 0.000 0.000 0.000
Sm 0.000 0.000 4.378
Sm 0.000 0.000 8.243
P 0.000 2.924 0.000
Se 2.060 0.000 2.145
Se 0.000 2.924 4.166
```

Total DFT energy (no corrections)   -37.4 eV for the cell shown

Which value of total DFT energy (no corrections) does entry 3 give?
-37.4 eV for the cell shown

Among the records above, which one has the lowest total DFT energy (no corrections)?
Sm3PSe2